Compound: KMo2AsO8
Source: Alexandria via LeMat-Bulk
Functional: PBE with a Hubbard U
Structure: optimized geometry

Cell and atoms, written as POSCAR:
```
KMo2AsO8
1.0
5.551 -0.115 -0.061
2.458 4.978 -0.061
0.277 0.168 7.933
K Mo As O
1 2 1 8
Cartesian
0.138 0.084 3.967 K
5.162 3.134 1.600 Mo
3.124 1.896 6.210 Mo
0.000 0.000 0.000 As
4.785 1.146 6.366 O
6.264 3.804 0.337 O
5.774 3.506 3.194 O
2.512 1.525 4.616 O
2.021 1.227 7.473 O
3.225 3.717 6.366 O
5.061 1.314 1.444 O
3.500 3.884 1.444 O
```

Output
raw total energy = -6.50 eV/atom
Fermi-level density of states = 0.0 states/eV per cell